Record 1
DFT (GGA-PBE) results for a relaxed structure of YbAgS2.

Calculated values
Formation energy without anion corrections, eV/atom: -1.0841
Magnetic moment, μB/f.u.: 0.520
Calculated total energy, Ry/atom: -0.312

a b c (Å): 5.4077 5.4077 11.6168
angles (deg): 90.00 90.00 90.00
Space group I4_1/amd (No. 141, origin choice 2)
Asymmetric unit:
Yb  0.0000  0.2500  0.3750 x4
Ag  0.0000  0.2500  0.8750 x4
S  0.0000  0.2500  0.1345 x8

---

Record 2
DFT (GGA-PBE) results for a relaxed structure of YbAgS2.

Calculated values
Formation energy without anion corrections, eV/atom: -1.0922
Magnetic moment, μB/f.u.: 0.420
Calculated total energy, Ry/atom: -0.312

a b c (Å): 3.9105 3.9105 5.4568
angles (deg): 90.00 90.00 90.00
Space group P4/mmm (No. 123)
Asymmetric unit:
Yb  0.0000  0.0000  0.0000 x1
Ag  0.5000  0.5000  0.5000 x1
S  0.0000  0.0000  0.5000 x1
S  0.5000  0.5000  0.0000 x1